--- w ---
Entry from Alexandria: Nb3TcW after structural relaxation (GGA-PBE).

abc: 4.5743 16.2752 4.5606
angles: 90.00 90.00 90.00
Space group Cmc2_1 (No. 36)
Symmetry-distinct sites (fractional):
Nb  0.0000  0.0536  0.9996
Nb  0.0000  0.2495  0.0000
Nb  0.0000  0.4457  0.0041
Tc  0.0000  0.3496  0.5020
W  0.0000  0.1503  0.4992

***

--- x ---
Entry from Alexandria: Nb3TcW after structural relaxation (GGA-PBE).

abc: 5.7774 5.7774 20.8328
angles: 90.00 90.00 120.00
Space group R-3m (No. 166, hexagonal axes)
Symmetry-distinct sites (fractional):
Nb  0.0019  0.5009  0.0993
Tc  0.0000  0.0000  0.3339
W  0.0000  0.0000  0.1340

***

--- y ---
Entry from Alexandria: Nb3TcW after structural relaxation (GGA-PBE).

abc: 4.7209 4.7209 4.7209
angles: 90.00 90.00 90.00
Space group Pm-3m (No. 221)
Symmetry-distinct sites (fractional):
Nb  0.0000  0.0000  0.5000
Tc  0.0000  0.0000  0.0000
W  0.5000  0.5000  0.5000

***

Most stable: w

***

--- w ---
Entry from Alexandria: Nb2TcW2 after structural relaxation (GGA-PBE).

abc: 3.2017 3.2017 16.1862
angles: 90.00 90.00 90.00
Space group I4/mmm (No. 139)
Symmetry-distinct sites (fractional):
Nb  0.0000  0.0000  0.0983
Tc  0.0000  0.0000  0.5000
W  0.0000  0.0000  0.2976

***

--- x ---
Entry from Alexandria: Nb2TcW2 after structural relaxation (GGA-PBE).

abc: 3.4960 3.4960 15.1992
angles: 90.00 90.00 90.00
Space group I4/mmm (No. 139)
Symmetry-distinct sites (fractional):
Nb  0.0000  0.0000  0.0947
Tc  0.0000  0.0000  0.5000
W  0.0000  0.5000  0.2500

***

Most stable: w

***

--- w ---
Entry from Alexandria: Nb4TcW after structural relaxation (GGA-PBE).

abc: 6.2306 6.2305 6.2676
angles: 90.00 90.07 90.00
Space group C2/m (No. 12)
Symmetry-distinct sites (fractional):
Nb  0.2498  0.2501  0.2477
Tc  0.0000  0.0000  0.0000
W  0.0000  0.5000  0.5000

***

--- x ---
Entry from Alexandria: Nb4TcW after structural relaxation (GGA-PBE).

abc: 3.2370 3.2370 9.8125
angles: 90.00 90.00 90.00
Space group P4/mmm (No. 123)
Symmetry-distinct sites (fractional):
Nb  0.0000  0.0000  0.1602
Nb  0.5000  0.5000  0.3365
Tc  0.5000  0.5000  0.0000
W  0.0000  0.0000  0.5000

***

Most stable: x